[1]
# PBE Cs2HfIBr6, relaxed
data_Cs2HfIBr6
_cell_length_a 7.3268
_cell_length_b 7.4875
_cell_length_c 9.1721
_cell_angle_alpha 100.21
_cell_angle_beta 113.42
_cell_angle_gamma 103.91
_space_group_name_H-M_alt 'P -1'
_space_group_IT_number 2
_space_group_name_Hall '-P 1'
loop_
_atom_site_label
_atom_site_type_symbol
_atom_site_fract_x
_atom_site_fract_y
_atom_site_fract_z
_atom_site_occupancy
Cs1 Cs 0.0116 0.2144 0.2653 1
Hf1 Hf 0.5000 0.5000 0.0000 1
I1 I 0.5000 0.0000 0.5000 1
Br1 Br 0.1465 0.3332 0.7189 1
Br2 Br 0.2967 0.6583 0.1352 1
Br3 Br 0.4102 0.2007 0.1020 1
# Spin magnetization ... 1.0 μB/cell
# Formation energy (no corrections) ... -1394 meV per atom
# Distance to the lowest polymorph of the same formula ... 0.000 eV per atom



[2]
# PBE CsHfInBr6, relaxed
data_CsHfInBr6
_cell_length_a 7.9898
_cell_length_b 7.9898
_cell_length_c 14.6284
_cell_angle_alpha 90.00
_cell_angle_beta 90.00
_cell_angle_gamma 120.00
_space_group_name_H-M_alt 'P -3 1 c'
_space_group_IT_number 163
_space_group_name_Hall '-P 3 2c'
loop_
_atom_site_label
_atom_site_type_symbol
_atom_site_fract_x
_atom_site_fract_y
_atom_site_fract_z
_atom_site_occupancy
Cs1 Cs 0.0000 0.0000 0.0000 1
Hf1 Hf 0.3333 0.6667 0.2500 1
In1 In 0.3333 0.6667 0.7500 1
Br1 Br 0.0607 0.4026 0.1459 1
# Spin magnetization ... 0.0 μB/cell
# Formation energy (no corrections) ... -1369 meV per atom



[3]
# PBE CsHfIn2Br8, relaxed
data_CsHfIn2Br8
_cell_length_a 7.4729
_cell_length_b 7.5877
_cell_length_c 8.5770
_cell_angle_alpha 98.53
_cell_angle_beta 90.63
_cell_angle_gamma 90.89
_space_group_name_H-M_alt 'P -1'
_space_group_IT_number 2
_space_group_name_Hall '-P 1'
loop_
_atom_site_label
_atom_site_type_symbol
_atom_site_fract_x
_atom_site_fract_y
_atom_site_fract_z
_atom_site_occupancy
Cs1 Cs 0.0000 0.0000 0.0000 1
Hf1 Hf 0.5000 0.5000 0.0000 1
In1 In 0.2873 0.4984 0.4956 1
Br1 Br 0.0076 0.7335 0.5997 1
Br2 Br 0.2382 0.6403 0.1774 1
Br3 Br 0.2710 0.3238 0.7959 1
Br4 Br 0.4967 0.7675 0.8403 1
# Spin magnetization ... 0.0 μB/cell
# Formation energy (no corrections) ... -1185 meV per atom